[1]
VASP calculation (PBE) on Tb7Dy2Cd2 after structural relaxation.

abc: 8.4840 6.4884 6.4884
angles: 97.06 102.98 102.98
Fractional positions:
Cd 0.1749 0.3801 0.3801
Cd 0.8251 0.6199 0.6199
Tb 0.4162 0.1380 0.1380
Tb 0.8270 0.4798 0.1263
Tb 0.1730 0.8737 0.5202
Tb 0.0000 0.0000 0.0000
Tb 0.8270 0.1263 0.4798
Tb 0.1730 0.5202 0.8737
Tb 0.5838 0.8620 0.8620
Dy 0.5000 0.3184 0.6816
Dy 0.5000 0.6816 0.3184

Properties
Magnetic moment: 0.000 μB per formula unit
ρ: 8.28 Mg/m³
V: 333 Å³ per cell
D(E_F): 1.184 states/eV/atom
Energy of formation: -0.04 eV/atom
Calculated total energy: -3.99 eV per atom
Symmetry: No. 12

=====

[2]
VASP calculation (PBE) on CaMg30AlO32 after structural relaxation.

abc: 8.5799 8.5799 8.5852
angles: 90.00 90.00 90.00
Fractional positions:
Mg 0.5000 0.0000 0.5000
Mg 0.5000 0.2474 0.2535
Mg 0.7498 0.0000 0.7490
Mg 0.0000 0.0000 0.5000
Mg 0.2500 0.2500 0.5000
Mg 0.7500 0.7500 0.5000
Mg 0.0000 0.2502 0.7490
Mg 0.5000 0.7526 0.7465
Mg 0.2502 0.0000 0.7490
Mg 0.5000 0.7526 0.2535
Mg 0.5000 0.5000 0.5000
Mg 0.5000 0.2474 0.7465
Mg 0.2500 0.7500 0.5000
Mg 0.0000 0.5000 0.0000
Mg 0.5000 0.0000 0.0000
Mg 0.0000 0.5000 0.5000
Mg 0.7526 0.5000 0.7465
Mg 0.2477 0.2477 0.0000
Mg 0.7523 0.2477 0.0000
Mg 0.7500 0.2500 0.5000
Mg 0.0000 0.7498 0.2510
Mg 0.2477 0.7523 0.0000
Mg 0.2474 0.5000 0.7465
Mg 0.0000 0.7498 0.7490
Mg 0.7526 0.5000 0.2535
Mg 0.2474 0.5000 0.2535
Mg 0.0000 0.2502 0.2510
Mg 0.7498 0.0000 0.2510
Mg 0.2502 0.0000 0.2510
Mg 0.7523 0.7523 0.0000
O 0.5000 0.7529 0.5000
O 0.7504 0.2496 0.7507
O 0.5000 0.7640 0.0000
O 0.7504 0.7504 0.2493
O 0.2496 0.7504 0.2493
O 0.2471 0.5000 0.5000
O 0.2322 0.0000 0.0000
O 0.5000 0.2471 0.5000
O 0.2360 0.5000 0.0000
O 0.7678 0.0000 0.0000
O 0.7640 0.5000 0.0000
O 0.0000 0.0000 0.7652
O 0.7529 0.5000 0.5000
O 0.0000 0.7531 0.5000
O 0.5000 0.0000 0.7503
O 0.0000 0.5000 0.2497
O 0.5000 0.0000 0.2497
O 0.5000 0.5000 0.2620
O 0.2496 0.7504 0.7507
O 0.7504 0.7504 0.7507
O 0.0000 0.2322 0.0000
O 0.2496 0.2496 0.2493
O 0.0000 0.0000 0.2348
O 0.0000 0.2469 0.5000
O 0.5000 0.5000 0.7380
O 0.2496 0.2496 0.7507
O 0.2469 0.0000 0.5000
O 0.7531 0.0000 0.5000
O 0.7504 0.2496 0.2493
O 0.5000 0.2360 0.0000
O 0.0000 0.7678 0.0000
O 0.0000 0.5000 0.7503
Al 0.0000 0.0000 0.0000
Ca 0.5000 0.5000 0.0000

Properties
Magnetic moment: 0.000 μB per formula unit
ρ: 3.44 Mg/m³
V: 632 Å³ per cell
D(E_F): 0.032 states/eV/atom
Calculated total energy: -5.98 eV per atom
Symmetry: No. 123
Uncorrected formation energy: -2.665 eV per atom

=====

[3]
VASP calculation (PBE) on NpRe2P2Ru after structural relaxation.

abc: 4.0239 5.9826 7.6242
angles: 90.00 90.00 90.00
Site moments in Bohr magnetons follow the coordinates.
Fractional positions:
P 0.5000 0.2619 0.3298  -0.02
P 0.0000 0.7588 0.1188  0.01
P 0.5000 0.7619 0.6702  -0.02
P 0.0000 0.2588 0.8812  0.01
Ru 0.5000 0.1559 0.7033  -0.26
Ru 0.5000 0.6559 0.2967  -0.26
Re 0.5000 0.5301 0.9380  -0.07
Re 0.0000 0.3691 0.1686  -0.08
Re 0.0000 0.8691 0.8314  -0.08
Re 0.5000 0.0301 0.0620  -0.07
Np 0.0000 0.4698 0.5628  3.34
Np 0.0000 0.9698 0.4372  3.34

Properties
Magnetic moment: 3.090 μB per formula unit
ρ: 13.98 Mg/m³
V: 184 Å³ per cell
D(E_F): 1.178 states/eV/atom
Energy of formation: -0.29 eV/atom
Calculated total energy: -9.95 eV per atom
Symmetry: No. 26

=====

[4]
VASP calculation (PBE) on Be2InReS after structural relaxation.

abc: 3.9397 5.3616 3.9397
angles: 90.00 90.00 90.00
Site moments in Bohr magnetons follow the coordinates.
Fractional positions:
Be 0.0000 0.0000 0.5000  -0.01
Be 0.5000 0.0000 0.0000  -0.01
S 0.0000 0.0000 0.0000  0.00
In 0.0000 0.5000 0.0000  -0.01
Re 0.5000 0.5000 0.5000  0.20

Properties
Magnetic moment: 0.166 μB per formula unit
ρ: 7.01 Mg/m³
V: 83 Å³ per cell
Polymorph energy (0 for the lowest one): 0.564 eV/atom
D(E_F): 0.475 states/eV/atom
Calculated total energy: -4.26 eV per atom
Symmetry: No. 123
Uncorrected formation energy: 1.098 eV per atom

=====

[5]
VASP calculation (PBE) on Ag2MoPdCl after structural relaxation.

abc: 5.2103 4.7533 5.2103
angles: 90.00 90.00 90.00
Fractional positions:
Pd 0.0000 0.5000 0.0000
Ag 0.5000 0.0000 0.0000
Ag 0.0000 0.0000 0.5000
Mo 0.0000 0.0000 0.0000
Cl 0.5000 0.5000 0.5000

Properties
Magnetic moment: 0.001 μB per formula unit
ρ: 5.84 Mg/m³
V: 129 Å³ per cell
D(E_F): 1.112 states/eV/atom
Calculated total energy: -3.38 eV per atom
Symmetry: No. 123
Uncorrected formation energy: 1.330 eV per atom

=====

Question: The highest magnetic moment belongs to which entry?
Answer: NpRe2P2Ru